Material: CeDy2Rh
Method: DFT, PBE-GGA
State: optimized geometry

Cell: 6.394 7.074 9.567 Å, 90.00 90.00 90.00°
Sites, in units of the cell vectors:
Dy: 0.833 0.322 0.936
Dy: 0.333 0.178 0.436
Dy: 0.333 0.178 0.064
Dy: 0.667 0.822 0.936
Dy: 0.167 0.678 0.436
Dy: 0.833 0.322 0.564
Dy: 0.167 0.678 0.064
Dy: 0.667 0.822 0.564
Ce: 0.852 0.039 0.250
Ce: 0.148 0.961 0.750
Ce: 0.648 0.539 0.250
Ce: 0.352 0.461 0.750
Rh: 0.043 0.372 0.250
Rh: 0.543 0.128 0.750
Rh: 0.957 0.628 0.750
Rh: 0.457 0.872 0.250

Calculated values
SG: Pnma
Crystal system: orthorhombic
Offset from the most stable computed form: 0.00 eV/f.u.
E: -97.39 eV per cell
M_tot: 0.219 μB/atom
Calculated volume: 433 Å³/cell
Calculated formation energy: -464 meV/atom


Material: Pm7I12Cl
Method: DFT, PBE-GGA
State: optimized geometry

Cell: 9.780 9.780 9.780 Å, 107.96 107.96 107.96°
Sites, in units of the cell vectors:
I: 0.076 0.687 0.224
I: 0.850 0.606 0.522
I: 0.394 0.478 0.150
I: 0.313 0.776 0.924
I: 0.522 0.850 0.606
I: 0.150 0.394 0.478
I: 0.924 0.313 0.776
I: 0.478 0.150 0.394
I: 0.606 0.522 0.850
I: 0.687 0.224 0.076
I: 0.776 0.924 0.313
I: 0.224 0.076 0.687
Pm: 0.500 0.500 0.500
Pm: 0.113 0.045 0.311
Pm: 0.887 0.955 0.689
Pm: 0.955 0.689 0.887
Pm: 0.689 0.887 0.955
Pm: 0.311 0.113 0.045
Pm: 0.045 0.311 0.113
Cl: 0.000 0.000 0.000

Calculated values
SG: R-3
Crystal system: trigonal
E: -79.66 eV per cell
M_tot: 0.000 μB/atom
Calculated volume: 758 Å³/cell
Formation energy (no corrections): -1.2977 eV per atom


Material: KBa3Bi4
Method: DFT, PBE-GGA
State: optimized geometry

Cell: 4.791 7.541 21.514 Å, 28.81 96.39 90.00°
Sites, in units of the cell vectors:
Bi: 0.372 0.338 0.744
Bi: 0.628 0.059 0.256
Bi: 0.372 0.941 0.744
Bi: 0.628 0.662 0.256
Ba: 0.208 0.961 0.416
Ba: 0.792 0.039 0.584
Ba: 0.000 0.500 0.000
K: 0.500 0.000 0.000

Calculated values
SG: Immm
Crystal system: orthorhombic
E: -27.45 eV per cell
M_tot: 0.000 μB/atom
Calculated volume: 364 Å³/cell
Calculated formation energy: -633 meV/atom


Material: K2Sb3Au2
Method: DFT, PBE-GGA
State: optimized geometry

Cell: 5.297 7.316 11.019 Å, 90.00 103.80 90.00°
Sites, in units of the cell vectors:
Sb: 0.435 0.554 0.868
Sb: 0.772 0.249 0.543
Sb: 0.435 0.946 0.868
Sb: 0.565 0.446 0.132
Sb: 0.565 0.054 0.132
Sb: 0.228 0.751 0.457
Au: 0.695 0.558 0.392
Au: 0.305 0.442 0.608
Au: 0.305 0.059 0.608
Au: 0.695 0.941 0.392
K: 0.050 0.750 0.101
K: 0.844 0.750 0.687
K: 0.156 0.250 0.313
K: 0.950 0.250 0.899

Calculated values
SG: P-1
Crystal system: triclinic
E: -46.17 eV per cell
M_tot: 0.000 μB/atom
Calculated volume: 415 Å³/cell
Formation energy (no corrections): -0.2814 eV per atom


Material: YCoW2
Method: DFT, PBE-GGA
State: optimized geometry

Cell: 4.812 4.812 8.838 Å, 74.20 74.20 90.00°
Sites, in units of the cell vectors:
W: 0.375 0.625 0.250
W: 0.375 0.125 0.250
W: 0.375 0.625 0.750
W: 0.875 0.625 0.750
Y: 0.000 0.000 0.000
Y: 0.750 0.250 0.500
Co: 0.500 0.500 0.000
Co: 0.250 0.750 0.500

Calculated values
SG: I4_1/amd
Crystal system: tetragonal
Offset from the most stable computed form: 3.22 eV/f.u.
E: -70.28 eV per cell
M_tot: 0.000 μB/atom
Calculated volume: 189 Å³/cell
Calculated formation energy: 1084 meV/atom


Material: Zn4Hg
Method: DFT, PBE-GGA
State: optimized geometry

Cell: 3.070 10.852 3.070 Å, 98.13 60.00 98.13°
Sites, in units of the cell vectors:
Zn: 0.198 0.593 0.198
Zn: 0.593 0.780 0.593
Zn: 0.802 0.407 0.802
Zn: 0.407 0.220 0.407
Hg: 0.000 0.000 0.000

Calculated values
SG: R-3m
Crystal system: trigonal
Offset from the most stable computed form: 0.01 eV/f.u.
E: -4.88 eV per cell
M_tot: 0.000 μB/atom
Calculated volume: 87 Å³/cell
Calculated formation energy: 103 meV/atom


Material: SmMgAl2
Method: DFT, PBE-GGA
State: optimized geometry

Cell: 4.379 4.469 4.469 Å, 90.00 90.00 90.00°
Sites, in units of the cell vectors:
Al: 0.000 0.500 0.000
Al: 0.000 0.000 0.500
Sm: 0.500 0.500 0.500
Mg: 0.500 0.000 0.000

Calculated values
SG: P4/mmm
Crystal system: tetragonal
Offset from the most stable computed form: 0.00 eV/f.u.
E: -15.06 eV per cell
M_tot: 0.000 μB/atom
Calculated volume: 87 Å³/cell
Calculated formation energy: -315 meV/atom


Material: Sc4TaN4
Method: DFT, PBE-GGA
State: optimized geometry

Cell: 4.584 5.476 5.476 Å, 79.89 65.26 65.26°
Sites, in units of the cell vectors:
Sc: 0.395 0.412 0.798
Sc: 0.605 0.588 0.202
Sc: 0.807 0.798 0.588
Sc: 0.193 0.202 0.412
N: 0.905 0.387 0.804
N: 0.095 0.613 0.196
N: 0.709 0.196 0.386
N: 0.291 0.804 0.614
Ta: 0.000 0.000 0.000

Calculated values
SG: I4/m
Crystal system: tetragonal
E: -84.84 eV per cell
M_tot: 0.000 μB/atom
Calculated volume: 113 Å³/cell
Formation energy (no corrections): -1.5950 eV per atom


Material: U2Ga8Fe
Method: DFT, PBE-GGA
State: optimized geometry

Cell: 4.271 4.271 10.939 Å, 90.00 90.00 90.00°
Sites, in units of the cell vectors:
Ga: 0.500 0.500 0.306
Ga: 0.000 0.500 0.500
Ga: 0.500 0.000 0.118
Ga: 0.500 0.000 0.882
Ga: 0.000 0.500 0.882
Ga: 0.500 0.500 0.694
Ga: 0.500 0.000 0.500
Ga: 0.000 0.500 0.118
U: 0.000 0.000 0.304
U: 0.000 0.000 0.696
Fe: 0.000 0.000 0.000

Calculated values
SG: P4/mmm
Crystal system: tetragonal
E: -58.05 eV per cell
M_tot: 0.308 μB/atom
Calculated volume: 200 Å³/cell
Calculated formation energy: -254 meV/atom


Material: Ba4Th3TcN8
Method: DFT, PBE-GGA
State: optimized geometry

Cell: 7.294 7.645 7.296 Å, 118.50 119.99 90.00°
Sites, in units of the cell vectors:
Th: 0.500 0.500 0.500
Th: 0.500 0.500 0.000
Th: 0.000 0.500 0.500
Ba: 0.500 0.000 0.500
Ba: 0.000 0.000 0.000
Ba: 0.000 0.000 0.500
Ba: 0.500 0.000 0.000
N: 0.216 0.686 0.970
N: 0.216 0.686 0.433
N: 0.270 0.310 0.540
N: 0.784 0.314 0.567
N: 0.755 0.686 0.970
N: 0.784 0.314 0.030
N: 0.245 0.314 0.030
N: 0.730 0.690 0.460
Tc: 0.000 0.500 0.000

Calculated values
SG: R-3m
Crystal system: trigonal
E: -119.48 eV per cell
M_tot: 0.067 μB/atom
Calculated volume: 294 Å³/cell
Formation energy (no corrections): -0.7852 eV per atom


Material: KMnW3
Method: DFT, PBE-GGA
State: optimized geometry

Cell: 4.645 4.645 4.645 Å, 90.00 90.00 90.00°
Sites, in units of the cell vectors:
W: 0.500 0.000 0.000
W: 0.000 0.000 0.500
W: 0.000 0.500 0.000
Mn: 0.000 0.000 0.000
K: 0.500 0.500 0.500

Calculated values
SG: Pm-3m
Crystal system: cubic
Offset from the most stable computed form: 0.00 eV/f.u.
E: -40.08 eV per cell
M_tot: 0.000 μB/atom
Calculated volume: 100 Å³/cell
Calculated formation energy: 1809 meV/atom


Material: MnNCl2
Method: DFT, PBE-GGA
State: optimized geometry

Cell: 7.402 7.402 7.402 Å, 24.46 24.46 24.46°
Sites, in units of the cell vectors:
Cl: 0.904 0.904 0.904
Cl: 0.096 0.096 0.096
Mn: 0.000 0.000 0.000
N: 0.500 0.500 0.500

Calculated values
SG: R-3m
Crystal system: trigonal
Offset from the most stable computed form: 4.63 eV/f.u.
E: -14.61 eV per cell
M_tot: 0.001 μB/atom
Calculated volume: 61 Å³/cell
Formation energy (no corrections): 1.6443 eV per atom


Q: Number 6 is which compound?
A: Zn4Hg